No. 1
An optimized crystal structure of KErPd. Source: the Open Quantum Materials Database, functional GGA-PBE.

Properties
* total energy: -10.6 eV/f.u.
* volume: 29.66 Å³/atom

Unit cell a=5.011 b=5.011 c=5.011 alpha=60.00 beta=60.00 gamma=60.00
Sites, in units of the cell vectors:
Pd (0.250, 0.250, 0.250)
Er (0.500, 0.500, 0.500)
K (0.000, 0.000, 0.000)



No. 2
An optimized crystal structure of NdSm2O4. Source: the Open Quantum Materials Database, functional GGA-PBE.

Properties
* total energy: -55.7 eV/f.u.
* volume: 17.22 Å³/atom

Unit cell a=6.985 b=6.985 c=6.985 alpha=119.99 beta=90.02 gamma=119.99
Sites, in units of the cell vectors:
O (0.616, 0.232, 0.384)
O (0.616, 0.232, 0.848)
O (0.134, 0.732, 0.866)
O (0.134, 0.268, 0.866)
O (0.152, 0.768, 0.384)
O (0.134, 0.268, 0.402)
O (0.598, 0.732, 0.866)
O (0.616, 0.768, 0.384)
Sm (0.375, 0.750, 0.625)
Sm (0.375, 0.250, 0.625)
Sm (0.875, 0.250, 0.625)
Sm (0.375, 0.750, 0.125)
Nd (0.000, 0.000, 0.000)
Nd (0.750, 0.500, 0.250)



No. 3
An optimized crystal structure of TaCo. Source: the Open Quantum Materials Database, functional GGA-PBE.

Properties
* total energy: -18.6 eV/f.u.
* E_form: 193 meV/atom
* volume: 14.96 Å³/atom

Unit cell a=4.486 b=4.486 c=4.486 alpha=37.44 beta=37.44 gamma=37.44
Sites, in units of the cell vectors:
Co (0.000, 0.000, 0.000)
Ta (0.500, 0.500, 0.500)



No. 4
An optimized crystal structure of HoSiNiGe. Source: the Open Quantum Materials Database, functional GGA-PBE.

Properties
* total energy: -23.1 eV/f.u.
* offset from the most stable computed form: 0.060 eV/atom
* volume: 16.99 Å³/atom

Unit cell a=8.522 b=8.522 c=4.063 alpha=90.00 beta=90.00 gamma=152.58
Sites, in units of the cell vectors:
Ni (0.827, 0.173, 0.750)
Ni (0.173, 0.827, 0.250)
Ho (0.397, 0.603, 0.250)
Ho (0.603, 0.397, 0.750)
Si (0.962, 0.038, 0.750)
Si (0.038, 0.962, 0.250)
Ge (0.250, 0.750, 0.750)
Ge (0.750, 0.250, 0.250)



No. 5
An optimized crystal structure of TbGdCo2Ge4. Source: the Open Quantum Materials Database, functional GGA-PBE.

Properties
* total energy: -47.2 eV/f.u.
* volume: 17.95 Å³/atom

Unit cell a=4.165 b=8.555 c=8.555 alpha=28.11 beta=90.00 gamma=90.00
Sites, in units of the cell vectors:
Co (0.500, 0.181, 0.181)
Co (0.000, 0.819, 0.819)
Tb (0.500, 0.391, 0.391)
Ge (0.500, 0.751, 0.751)
Ge (0.000, 0.955, 0.955)
Ge (0.000, 0.250, 0.250)
Ge (0.500, 0.045, 0.045)
Gd (0.000, 0.609, 0.609)



No. 6
An optimized crystal structure of LaAlCdPt. Source: the Open Quantum Materials Database, functional GGA-PBE.

Properties
* total energy: -18.9 eV/f.u.
* offset from the most stable computed form: 0.000 eV/atom
* volume: 22.31 Å³/atom

Unit cell a=5.608 b=5.608 c=7.944 alpha=91.03 beta=91.03 gamma=45.60
Sites, in units of the cell vectors:
Pt (0.780, 0.780, 0.784)
Pt (0.220, 0.220, 0.216)
Cd (0.647, 0.647, 0.452)
Cd (0.353, 0.353, 0.548)
Al (0.653, 0.653, 0.059)
Al (0.347, 0.347, 0.941)
La (0.063, 0.063, 0.761)
La (0.937, 0.937, 0.239)



No. 7
An optimized crystal structure of PuAg. Source: the Open Quantum Materials Database, functional GGA-PBE.

Properties
* total energy: -16.2 eV/f.u.
* E_form: 358 meV/atom
* volume: 26.46 Å³/atom

Unit cell a=4.214 b=4.214 c=4.214 alpha=60.00 beta=60.00 gamma=60.00
Sites, in units of the cell vectors:
Ag (0.000, 0.000, 0.000)
Pu (0.500, 0.500, 0.500)



No. 8
An optimized crystal structure of ErPaCo. Source: the Open Quantum Materials Database, functional GGA-PBE.

Properties
* total energy: -18.8 eV/f.u.
* E_form: 796 meV/atom
* volume: 22.08 Å³/atom

Unit cell a=4.541 b=4.541 c=4.541 alpha=60.00 beta=60.00 gamma=60.00
Sites, in units of the cell vectors:
Pa (0.250, 0.250, 0.250)
Er (0.000, 0.000, 0.000)
Co (0.500, 0.500, 0.500)



No. 9
An optimized crystal structure of DyMgAgTe2Se. Source: the Open Quantum Materials Database, functional GGA-PBE.

Properties
* total energy: -23.8 eV/f.u.
* volume: 26.20 Å³/atom

Unit cell a=7.280 b=7.280 c=10.918 alpha=90.00 beta=90.00 gamma=147.08
Sites, in units of the cell vectors:
Ag (0.016, 0.984, 0.750)
Ag (0.984, 0.016, 0.250)
Dy (0.500, 0.500, 0.000)
Dy (0.500, 0.500, 0.500)
Te (0.846, 0.154, 0.431)
Te (0.846, 0.154, 0.069)
Te (0.154, 0.846, 0.931)
Te (0.154, 0.846, 0.569)
Mg (0.246, 0.754, 0.250)
Mg (0.754, 0.246, 0.750)
Se (0.608, 0.392, 0.250)
Se (0.392, 0.608, 0.750)



No. 10
An optimized crystal structure of Tm2Ni2B2PC. Source: the Open Quantum Materials Database, functional GGA-PBE.

Properties
* total energy: -52.8 eV/f.u.
* volume: 13.27 Å³/atom

Unit cell a=3.738 b=3.738 c=7.594 alpha=90.00 beta=90.00 gamma=90.00
Sites, in units of the cell vectors:
Tm (0.500, 0.500, 0.148)
Tm (0.000, 0.000, 0.804)
B (0.000, 0.000, 0.409)
B (0.500, 0.500, 0.642)
Ni (0.000, 0.500, 0.501)
Ni (0.500, 0.000, 0.501)
C (0.500, 0.500, 0.839)
P (0.000, 0.000, 0.156)